Entry from Alexandria: a relaxed AcYZn2Au5 crystal (PBE).

a = 4.662 Å, b = 4.662 Å, c = 9.099 Å
α = 90.00°, β = 90.00°, γ = 90.00°
Space group P4/mmm (No. 123)
Asymmetric unit:
Ac1 0.000 0.000 0.000 [1 per cell]
Y1 0.000 0.000 0.500 [1 per cell]
Zn1 0.500 0.500 0.368 [2 per cell]
Au1 0.000 0.500 0.250 [4 per cell]
Au2 0.500 0.500 0.000 [1 per cell]



Entry from Alexandria: a relaxed AcYZnAu crystal (PBE).

a = 7.540 Å, b = 7.540 Å, c = 7.540 Å
α = 90.00°, β = 90.00°, γ = 90.00°
Space group F-43m (No. 216)
Asymmetric unit:
Ac1 0.000 0.000 0.000 [4 per cell]
Y1 0.000 0.000 0.500 [4 per cell]
Zn1 0.250 0.250 0.750 [4 per cell]
Au1 0.250 0.250 0.250 [4 per cell]



Entry from Alexandria: a relaxed AcZn2Au crystal (PBE).

**Distance to the lowest polymorph of the same formula**: 0.00 eV per formula unit

a = 4.385 Å, b = 19.390 Å, c = 4.448 Å
α = 90.00°, β = 90.00°, γ = 90.00°
Space group Cmcm (No. 63)
Asymmetric unit:
Ac1 0.000 0.108 0.250 [4 per cell]
Zn1 0.000 0.250 0.750 [4 per cell]
Zn2 0.000 0.469 0.250 [4 per cell]
Au1 0.000 0.331 0.250 [4 per cell]



no.,energy of formation from the pure elements (eV per atom)
1,-0.50
2,-0.50
3,-0.50